This record from the Alexandria database describes crystalline LiHo2ZnO5 at its relaxed geometry. The functional is PBE.

Lattice parameters (Å, degrees): 3.2967 6.7336 9.4486 90.00 90.00 104.17
Site moments in Bohr magnetons follow the coordinates.
Atoms (fractional coordinates):
Zn 0.5423 0.0847 0.9700  0.08
O 0.2861 0.5721 0.6728  0.18
Zn 0.4577 0.9153 0.4700  0.08
O 0.4956 0.9913 0.7732  0.17
O 0.6327 0.2655 0.5026  0.09
O 0.7139 0.4279 0.1728  0.18
O 0.5044 0.0087 0.2732  0.17
Ho 0.8849 0.7699 0.1843  -0.01
Li 0.2120 0.4240 0.0041  0.00
O 0.3673 0.7345 0.0026  0.09
O 0.9442 0.8883 0.5717  0.15
O 0.3192 0.6384 0.3506  0.25
O 0.0558 0.1117 0.0717  0.15
Ho 0.8606 0.7212 0.7947  0.00
O 0.6808 0.3616 0.8506  0.25
Li 0.7880 0.5760 0.5041  0.00
Ho 0.1394 0.2788 0.2947  0.00
Ho 0.1151 0.2301 0.6843  -0.01

Results
Its total moment is 2.03 Bohr magnetons per cell. As for the space-group type: Cmc2_1 (36). For the uncorrected energy, the calculation gives -6.62 eV per atom.

This record from the Alexandria database describes crystalline LiHo4Os2 at its relaxed geometry. The functional is PBE.

Lattice parameters (Å, degrees): 4.8392 4.8392 8.2584 72.96 72.96 60.00
Atoms (fractional coordinates):
Ho 0.1283 0.1283 0.6151
Ho 0.3789 0.3789 0.8632
Os 0.7476 0.7476 0.7571
Ho 0.6211 0.6211 0.1368
Li 0.0000 0.0000 0.0000
Os 0.2524 0.2524 0.2429
Ho 0.8717 0.8717 0.3849

Results
Its total moment is 0.00 Bohr magnetons per cell. As for the space-group type: R-3m (166). The formation energy is -24.5 kJ per mole of atoms.

This record from the Alexandria database describes crystalline LiHoPaOs at its relaxed geometry. The functional is PBE.

Lattice parameters (Å, degrees): 4.8879 4.8879 4.8879 60.00 60.00 60.00
Atoms (fractional coordinates):
Os 0.5000 0.5000 0.5000
Ho 0.2500 0.2500 0.2500
Pa 0.7500 0.7500 0.7500
Li 0.0000 0.0000 0.0000

Results
Its total moment is 0.00 Bohr magnetons per cell. As for the space-group type: F-43m (216). The formation energy is -8.1 kJ per mole of atoms.

This record from the Alexandria database describes crystalline LiPmHoOs at its relaxed geometry. The functional is PBE.

Lattice parameters (Å, degrees): 4.9490 4.9490 4.9490 60.00 60.00 60.00
Atoms (fractional coordinates):
Os 0.5000 0.5000 0.5000
Pm 0.2500 0.2500 0.2500
Ho 0.7500 0.7500 0.7500
Li 0.0000 0.0000 0.0000

Results
Its total moment is 0.00 Bohr magnetons per cell. As for the space-group type: F-43m (216). The formation energy is -17.0 kJ per mole of atoms.

This record from the Alexandria database describes crystalline LiPrHoOs at its relaxed geometry. The functional is PBE.

Lattice parameters (Å, degrees): 4.9871 4.9871 4.9871 60.00 60.00 60.00
Atoms (fractional coordinates):
Os 0.5000 0.5000 0.5000
Li 0.0000 0.0000 0.0000
Pr 0.2500 0.2500 0.2500
Ho 0.7500 0.7500 0.7500

Results
Its total moment is 0.00 Bohr magnetons per cell. As for the space-group type: F-43m (216). The formation energy is -12.9 kJ per mole of atoms.

This record from the Alexandria database describes crystalline LiTbHoOs at its relaxed geometry. The functional is PBE.

Lattice parameters (Å, degrees): 4.8944 4.8944 4.8944 60.00 60.00 60.00
Atoms (fractional coordinates):
Tb 0.7500 0.7500 0.7500
Li 0.0000 0.0000 0.0000
Ho 0.2500 0.2500 0.2500
Os 0.5000 0.5000 0.5000

Results
Its total moment is 0.00 Bohr magnetons per cell. As for the space-group type: F-43m (216). The formation energy is -22.8 kJ per mole of atoms.

This record from the Alexandria database describes crystalline LiHoTiOs at its relaxed geometry. The functional is PBE.

Lattice parameters (Å, degrees): 4.6343 4.6343 4.6343 60.00 60.00 60.00
Atoms (fractional coordinates):
Ho 0.7500 0.7500 0.7500
Os 0.0000 0.0000 0.0000
Li 0.5000 0.5000 0.5000
Ti 0.2500 0.2500 0.2500

Results
Its total moment is 0.00 Bohr magnetons per cell. As for the space-group type: F-43m (216). The formation energy is -16.3 kJ per mole of atoms.

This record from the Alexandria database describes crystalline LiHo2P at its relaxed geometry. The functional is PBE.

Lattice parameters (Å, degrees): 3.7399 3.7399 10.0568 79.28 79.28 60.00
Atoms (fractional coordinates):
Ho 0.1119 0.1119 0.6644
P 0.5000 0.5000 0.5000
Ho 0.8881 0.8881 0.3356
Li 0.0000 0.0000 0.0000

Results
Its total moment is 0.00 Bohr magnetons per cell. As for the space-group type: R-3m (166). The formation energy is -50.6 kJ per mole of atoms.

This record from the Alexandria database describes crystalline LiHoP at its relaxed geometry. The functional is PBE.

Lattice parameters (Å, degrees): 4.7877 4.7877 6.4328 90.00 90.00 90.00
Atoms (fractional coordinates):
Ho 0.0000 0.0000 0.5000
P 0.5000 0.0000 0.7153
Li 0.0000 0.5000 0.9030
P 0.0000 0.5000 0.2847
Li 0.5000 0.0000 0.0970
Ho 0.5000 0.5000 0.5000

Results
Its total moment is 0.00 Bohr magnetons per cell. As for the space-group type: P4/nmm (129). The formation energy is -66.3 kJ per mole of atoms.

This record from the Alexandria database describes crystalline LiHoP at its relaxed geometry. The functional is PBE.

Lattice parameters (Å, degrees): 3.8502 4.0099 4.0099 120.00 90.00 90.00
Atoms (fractional coordinates):
P 0.1665 0.0000 0.0000
Li 0.1668 0.6667 0.3333
Ho 0.6667 0.3333 0.6667

Results
Its total moment is 0.00 Bohr magnetons per cell. As for the space-group type: P-6m2 (187). The formation energy is -94.3 kJ per mole of atoms.

This record from the Alexandria database describes crystalline LiHoP at its relaxed geometry. The functional is PBE.

Lattice parameters (Å, degrees): 3.8157 3.8157 4.7667 113.59 113.59 90.00
Site moments in Bohr magnetons follow the coordinates.
Atoms (fractional coordinates):
Ho 0.3276 0.3276 0.6552  0.12
Li 0.9878 0.9878 0.9757  0.01
P 0.6846 0.6846 0.3692  -0.01

Results
Its total moment is 0.21 Bohr magnetons per cell. As for the space-group type: I4mm (107). The formation energy is -57.9 kJ per mole of atoms.

This record from the Alexandria database describes crystalline LiHoP at its relaxed geometry. The functional is PBE.

Lattice parameters (Å, degrees): 4.4479 4.4479 4.4479 60.00 60.00 60.00
Atoms (fractional coordinates):
Li 0.0000 0.0000 0.0000
Ho 0.5000 0.5000 0.5000
P 0.2500 0.2500 0.2500

Results
Its total moment is 0.00 Bohr magnetons per cell. As for the space-group type: F-43m (216). The formation energy is -88.7 kJ per mole of atoms.